{
  "formula": "TiIn2Cu",
  "functional": "PBE-GGA",
  "state": "relaxed",
  "cell": [[4.265, 0.000, 0.000], [0.000, 4.265, 0.000], [0.000, 0.000, 4.022]],
  "species": ["Ti", "In", "In", "Cu"],
  "frac_coords": [[0.000, 0.000, 0.000], [0.000, 0.500, 0.500], [0.500, 0.000, 0.500], [0.500, 0.500, 0.000]],
  "formation_energy_ev_per_atom": -0.074,
  "dft_energy_ev_per_atom": -4.44
}